1.
A plane-wave DFT calculation with PBE-GGA was carried out for an optimized crystal structure of Cr3Ir3Rh5.

Calculated values
Formation energy from the elements (eV per atom): 0.4004
Calculated volume (Å³/f.u.): 168
Crystal system: hexagonal
Total DFT energy (no corrections) (eV/atom): -7.9823
M_tot (μB/atom): 0.292

Cell: 2.738 8.419 8.419 Å, 120.00 90.00 89.99°
Site moments in Bohr magnetons follow the coordinates.
Sites, in units of the cell vectors:
Rh 0.500 0.333 0.667  -0.27
Rh 0.500 0.649 0.649  -0.12
Rh 0.500 0.351 0.000  -0.12
Ir 0.500 0.000 0.821  -0.18
Cr 0.000 0.000 0.583  1.47
Ir 0.500 0.821 0.000  -0.18
Ir 0.500 0.179 0.179  -0.18
Cr 0.000 0.417 0.417  1.47
Rh 0.500 0.000 0.351  -0.12
Rh 0.500 0.667 0.333  -0.27
Cr 0.000 0.583 0.000  1.47


2.
A plane-wave DFT calculation with PBE-GGA was carried out for an optimized crystal structure of CrIrRh2.

Calculated values
Formation energy from the elements (eV per atom): 0.2082
Calculated volume (Å³/f.u.): 59
Crystal system: trigonal
Total DFT energy (no corrections) (eV/atom): -8.0886
M_tot (μB/atom): 0.148

Cell: 4.160 4.160 4.597 Å, 63.10 63.10 60.00°
Site moments in Bohr magnetons follow the coordinates.
Sites, in units of the cell vectors:
Rh 0.265 0.265 0.204  -0.09
Cr 0.706 0.706 0.881  0.84
Ir 0.487 0.487 0.539  -0.14
Rh 0.042 0.042 0.875  -0.07


3.
A plane-wave DFT calculation with PBE-GGA was carried out for an optimized crystal structure of CrIr6Rh8.

Calculated values
Formation energy from the elements (eV per atom): 0.2609
Calculated volume (Å³/f.u.): 231
Crystal system: trigonal
Total DFT energy (no corrections) (eV/atom): -7.8458
M_tot (μB/atom): 0.131

Cell: 2.716 9.899 9.899 Å, 120.00 90.00 90.00°
Site moments in Bohr magnetons follow the coordinates.
Sites, in units of the cell vectors:
Ir 0.751 0.534 0.623  -0.03
Cr 0.500 0.000 0.000  2.14
Ir 0.751 0.088 0.466  -0.03
Rh 0.248 0.924 0.199  -0.01
Rh 0.248 0.801 0.725  -0.01
Rh 0.752 0.076 0.801  -0.01
Rh 0.245 0.333 0.667  -0.01
Rh 0.248 0.275 0.076  -0.01
Ir 0.249 0.912 0.534  -0.03
Ir 0.249 0.466 0.377  -0.03
Rh 0.752 0.725 0.924  -0.01
Rh 0.752 0.199 0.275  -0.01
Rh 0.755 0.667 0.333  -0.01
Ir 0.249 0.623 0.088  -0.03
Ir 0.751 0.377 0.912  -0.03


4.
A plane-wave DFT calculation with PBE-GGA was carried out for an optimized crystal structure of CrIrRh4.

Calculated values
Formation energy from the elements (eV per atom): 0.4380
Calculated volume (Å³/f.u.): 91
Distance to the lowest polymorph of the same formula (meV per atom): 561
Crystal system: cubic
Total DFT energy (no corrections) (eV/atom): -7.5437
M_tot (μB/atom): 0.119

Cell: 5.058 5.058 5.058 Å, 60.00 60.00 60.00°
Site moments in Bohr magnetons follow the coordinates.
Sites, in units of the cell vectors:
Rh 0.375 0.375 0.375  -0.41
Rh 0.375 0.875 0.375  -0.41
Ir 0.000 0.000 0.000  -0.96
Rh 0.375 0.375 0.875  -0.41
Rh 0.875 0.375 0.375  -0.41
Cr 0.750 0.750 0.750  3.10